Density functional theory data (PBE-GGA) for a geometry-optimized La2CdGa3Au4 structure.

Cell and atoms, written as CIF:
```
data_La2CdGa3Au4
_cell_length_a 4.5282
_cell_length_b 4.5282
_cell_length_c 10.7926
_cell_angle_alpha 90.00
_cell_angle_beta 90.00
_cell_angle_gamma 90.00
_symmetry_space_group_name_H-M 'P 1'
_symmetry_Int_Tables_number 1
loop_
_symmetry_equiv_pos_as_xyz
'x,y,z'
loop_
_atom_site_label
_atom_site_fract_x
_atom_site_fract_y
_atom_site_fract_z
Ga1 0.0000 0.5000 0.1249
Ga2 0.0000 0.0000 0.5000
Ga3 0.5000 0.0000 0.8751
Au1 0.0000 0.5000 0.3570
Au2 0.5000 0.5000 0.0000
Au3 0.5000 0.0000 0.6430
Au4 0.0000 0.0000 0.0000
La1 0.5000 0.0000 0.2414
La2 0.0000 0.5000 0.7586
Cd1 0.5000 0.5000 0.5000
```

The total energy comes out at -3.927 eV per atom. As for the formation energy: -631 meV per atom. For the mass density, the calculation gives 10.410 Mg/m³. Its symmetry is No. 115. As for the total magnetic moment: 0.0 μB per formula unit.


Density functional theory data (PBE-GGA) for a geometry-optimized TlCuIr2 structure.

Cell and atoms, written as CIF:
```
data_TlCuIr2
_cell_length_a 3.1579
_cell_length_b 3.1579
_cell_length_c 6.3544
_cell_angle_alpha 90.00
_cell_angle_beta 90.00
_cell_angle_gamma 90.00
_symmetry_space_group_name_H-M 'P 1'
_symmetry_Int_Tables_number 1
loop_
_symmetry_equiv_pos_as_xyz
'x,y,z'
loop_
_atom_site_label
_atom_site_fract_x
_atom_site_fract_y
_atom_site_fract_z
Ir1 0.0000 0.0000 0.9673
Ir2 0.0000 0.0000 0.5327
Tl1 0.5000 0.5000 0.2500
Cu1 0.5000 0.5000 0.7500
```

The total energy comes out at -5.566 eV per atom. The calculation puts the excess energy over the best structure of this formula in the dataset at 118 meV/atom. As for the formation energy: 480 meV per atom. For the mass density, the calculation gives 17.095 Mg/m³. Its symmetry is No. 123. As for the total magnetic moment: 0.0 μB per formula unit.


Density functional theory data (PBE-GGA) for a geometry-optimized KLaTc2Ir structure.

Cell and atoms, written as CIF:
```
data_KLaTc2Ir
_cell_length_a 5.0985
_cell_length_b 5.1181
_cell_length_c 5.0985
_cell_angle_alpha 90.00
_cell_angle_beta 90.00
_cell_angle_gamma 90.00
_symmetry_space_group_name_H-M 'P 1'
_symmetry_Int_Tables_number 1
loop_
_symmetry_equiv_pos_as_xyz
'x,y,z'
loop_
_atom_site_label
_atom_site_fract_x
_atom_site_fract_y
_atom_site_fract_z
K1 0.5000 0.5000 0.5000
Tc1 0.5000 0.0000 0.0000
Tc2 0.0000 0.0000 0.5000
Ir1 0.0000 0.5000 0.0000
La1 0.0000 0.0000 0.0000
```

The total energy comes out at -5.294 eV per atom. As for the formation energy: 1830 meV per atom. For the mass density, the calculation gives 7.067 Mg/m³. Its symmetry is No. 123. As for the total magnetic moment: 4.9 μB per formula unit.